(1)
Here is an optimized crystal structure of TiAsW3 from Alexandria. Energies are from PBE.

a = 4.590 Å, b = 4.590 Å, c = 4.590 Å
α = 90.00°, β = 90.00°, γ = 90.00°
Element x y z (fractional)
As: 0.000 0.000 0.000
W: 0.000 0.000 0.500
W: 0.000 0.500 0.000
Ti: 0.500 0.500 0.500
W: 0.500 0.000 0.000

Properties
V   97 Å³/f.u.
Energy of formation   1.344 eV/atom
Spin magnetization   0.00 μB/f.u.


(2)
Here is an optimized crystal structure of TiAs4W2 from Alexandria. Energies are from PBE.

a = 3.366 Å, b = 11.242 Å, c = 13.145 Å
α = 90.00°, β = 90.00°, γ = 90.00°
Element x y z (fractional)
W: 0.750 0.835 0.695
As: 0.750 0.325 0.263
Ti: 0.750 0.124 0.619
As: 0.750 0.551 0.082
Ti: 0.250 0.876 0.381
As: 0.750 0.462 0.650
As: 0.750 0.962 0.850
As: 0.250 0.175 0.763
W: 0.750 0.916 0.049
W: 0.250 0.584 0.549
As: 0.250 0.038 0.150
W: 0.750 0.335 0.805
W: 0.250 0.165 0.305
As: 0.250 0.449 0.918
As: 0.750 0.051 0.418
W: 0.250 0.084 0.951
As: 0.250 0.538 0.350
As: 0.250 0.742 0.005
As: 0.750 0.758 0.505
As: 0.750 0.825 0.237
Ti: 0.250 0.376 0.119
W: 0.750 0.416 0.451
As: 0.250 0.242 0.495
Ti: 0.750 0.624 0.881
W: 0.250 0.665 0.195
As: 0.250 0.949 0.582
As: 0.750 0.258 0.995
As: 0.250 0.675 0.737

Properties
V   124 Å³/f.u.
Energy of formation   -0.130 eV/atom
Spin magnetization   0.00 μB/f.u.


Which formula does entry 2 have?
TiAs4W2


Look up the spin magnetization of the first one.
0.00 μB/f.u.